# Cu3AsW, optimized geometry, DFT PBE-GGA
# calculated formation energy: 8.38 eV/f.u.
# ρ: 7.2 Mg/m³
# energy above the lowest structure with this stoichiometry: 399 meV per atom
# D(E_F): 7.0 states/eV/cell
data_Cu3AsW
_chemical_formula_sum 'Cu3 As1 W1'
_symmetry_space_group_name_H-M 'P 1'
_symmetry_Int_Tables_number 1
_symmetry_space_group_name_Hall 'P 1'
_cell_length_a 4.688
_cell_length_b 4.688
_cell_length_c 4.688
_cell_angle_alpha 90.00
_cell_angle_beta 90.00
_cell_angle_gamma 90.00
loop_
_atom_site_label
_atom_site_type_symbol
_atom_site_fract_x
_atom_site_fract_y
_atom_site_fract_z
As1 As 0.500 0.500 0.500
Cu1 Cu 0.000 0.500 0.000
Cu2 Cu 0.000 0.000 0.500
Cu3 Cu 0.500 0.000 0.000
W1 W 0.000 0.000 0.000

# MnReTeN2, optimized geometry, DFT PBE-GGA
# energy relative to the elements, uncorrected: 1.42 eV/atom
# ρ: 8.6 Mg/m³
# energy above the lowest structure with this stoichiometry: 899 meV per atom
# D(E_F): 3.9 states/eV/cell
data_MnReTeN2
_chemical_formula_sum 'Mn1 Re1 Te1 N2'
_symmetry_space_group_name_H-M 'P 1'
_symmetry_Int_Tables_number 1
_symmetry_space_group_name_Hall 'P 1'
_cell_length_a 3.739
_cell_length_b 3.739
_cell_length_c 5.509
_cell_angle_alpha 90.00
_cell_angle_beta 90.00
_cell_angle_gamma 90.00
loop_
_atom_site_label
_atom_site_type_symbol
_atom_site_fract_x
_atom_site_fract_y
_atom_site_fract_z
Re1 Re 0.500 0.500 0.500
Te1 Te 0.000 0.000 0.500
Mn1 Mn 0.000 0.000 0.000
N1 N 0.000 0.500 0.000
N2 N 0.500 0.000 0.000

# NaZrZn2P, optimized geometry, DFT PBE-GGA
# calculated formation energy: 6.67 eV/f.u.
# ρ: 2.8 Mg/m³
# D(E_F): 2.8 states/eV/cell
data_NaZrZn2P
_chemical_formula_sum 'Na1 Zr1 Zn2 P1'
_symmetry_space_group_name_H-M 'P 1'
_symmetry_Int_Tables_number 1
_symmetry_space_group_name_Hall 'P 1'
_cell_length_a 5.226
_cell_length_b 5.948
_cell_length_c 5.226
_cell_angle_alpha 90.00
_cell_angle_beta 90.00
_cell_angle_gamma 90.00
loop_
_atom_site_label
_atom_site_type_symbol
_atom_site_fract_x
_atom_site_fract_y
_atom_site_fract_z
P1 P 0.500 0.500 0.500
Zn1 Zn 0.000 0.000 0.500
Zn2 Zn 0.500 0.000 0.000
Zr1 Zr 0.000 0.000 0.000
Na1 Na 0.000 0.500 0.000

# LuGePdPt, optimized geometry, DFT PBE-GGA
# calculated formation energy: -3.31 eV/f.u.
# ρ: 12.9 Mg/m³
# D(E_F): 1.6 states/eV/cell
data_LuGePdPt
_chemical_formula_sum 'Lu1 Ge1 Pd1 Pt1'
_symmetry_space_group_name_H-M 'P 1'
_symmetry_Int_Tables_number 1
_symmetry_space_group_name_Hall 'P 1'
_cell_length_a 4.647
_cell_length_b 4.647
_cell_length_c 4.647
_cell_angle_alpha 60.00
_cell_angle_beta 60.00
_cell_angle_gamma 60.00
loop_
_atom_site_label
_atom_site_type_symbol
_atom_site_fract_x
_atom_site_fract_y
_atom_site_fract_z
Ge1 Ge 0.250 0.250 0.250
Lu1 Lu 0.750 0.750 0.750
Pd1 Pd 0.500 0.500 0.500
Pt1 Pt 0.000 0.000 0.000

# SrTbCdPd, optimized geometry, DFT PBE-GGA
# calculated formation energy: -1.60 eV/f.u.
# ρ: 7.4 Mg/m³
# D(E_F): 3.4 states/eV/cell
data_SrTbCdPd
_chemical_formula_sum 'Sr1 Tb1 Cd1 Pd1'
_symmetry_space_group_name_H-M 'P 1'
_symmetry_Int_Tables_number 1
_symmetry_space_group_name_Hall 'P 1'
_cell_length_a 5.291
_cell_length_b 5.291
_cell_length_c 5.291
_cell_angle_alpha 60.00
_cell_angle_beta 60.00
_cell_angle_gamma 60.00
loop_
_atom_site_label
_atom_site_type_symbol
_atom_site_fract_x
_atom_site_fract_y
_atom_site_fract_z
Sr1 Sr 0.000 0.000 0.000
Tb1 Tb 0.500 0.500 0.500
Pd1 Pd 0.250 0.250 0.250
Cd1 Cd 0.750 0.750 0.750

# Li2As, optimized geometry, DFT PBE-GGA
# calculated formation energy: -1.67 eV/f.u.
# ρ: 2.6 Mg/m³
# energy above the lowest structure with this stoichiometry: 76 meV per atom
# D(E_F): 1.0 states/eV/cell
data_Li2As
_chemical_formula_sum 'Li4 As2'
_symmetry_space_group_name_H-M 'P 1'
_symmetry_Int_Tables_number 1
_symmetry_space_group_name_Hall 'P 1'
_cell_length_a 5.288
_cell_length_b 5.288
_cell_length_c 5.288
_cell_angle_alpha 107.96
_cell_angle_beta 107.96
_cell_angle_gamma 112.55
loop_
_atom_site_label
_atom_site_type_symbol
_atom_site_fract_x
_atom_site_fract_y
_atom_site_fract_z
Li1 Li 0.779 0.279 0.059
Li2 Li 0.221 0.721 0.941
Li3 Li 0.279 0.221 0.500
Li4 Li 0.721 0.779 0.500
As1 As 0.250 0.250 0.000
As2 As 0.750 0.750 0.000